{
  "formula": "NdDy14Sc",
  "functional": "PBE",
  "state": "optimized geometry",
  "lattice": [[7.070, 0.000, 0.000], [0.000, 7.070, 0.000], [0.000, 0.000, 9.974]],
  "species": ["Nd", "Dy", "Dy", "Dy", "Dy", "Dy", "Dy", "Dy", "Dy", "Dy", "Dy", "Dy", "Dy", "Dy", "Dy", "Sc"],
  "fractional_positions": [[0.000, 0.000, 0.000], [0.000, 0.000, 0.500], [0.000, 0.500, 0.000], [0.000, 0.500, 0.500], [0.252, 0.252, 0.249], [0.252, 0.252, 0.751], [0.252, 0.748, 0.249], [0.252, 0.748, 0.751], [0.500, 0.000, 0.000], [0.500, 0.000, 0.500], [0.500, 0.500, 0.500], [0.748, 0.252, 0.249], [0.748, 0.252, 0.751], [0.748, 0.748, 0.249], [0.748, 0.748, 0.751], [0.500, 0.500, 0.000]],
  "formation_energy_mev_per_atom": 23,
  "n_ef_per_ev_cell": 18.7,
  "sg": "P4/mmm (123)",
  "energy_ev_per_atom": -4.698,
  "mass_density_g_cm3": 8.21
}

=====

{
  "formula": "TiInH2",
  "functional": "PBE",
  "state": "optimized geometry",
  "lattice": [[-2.202, 2.202, 5.003], [2.202, -2.202, 5.003], [2.202, 2.202, -5.003]],
  "species": ["Ti", "Ti", "In", "In", "H", "H", "H", "H"],
  "fractional_positions": [[0.000, 0.000, 0.000], [0.750, 0.250, 0.500], [0.250, 0.750, 0.500], [0.500, 0.500, 0.000], [0.375, 0.249, 0.374], [0.751, 0.125, 0.126], [0.875, 0.001, 0.626], [0.999, 0.625, 0.874]],
  "n_ef_per_ev_cell": 4.6,
  "sg": "I-42d (122)",
  "energy_ev_per_atom": -4.321,
  "mass_density_g_cm3": 5.64,
  "de_polymorph_mev_per_atom": 0.0
}

=====

{
  "formula": "ErTmO",
  "functional": "PBE",
  "state": "optimized geometry",
  "lattice": [[6.833, 0.000, 0.000], [0.000, 6.471, 0.000], [-2.620, 0.000, 6.171]],
  "species": ["Er", "Er", "Er", "Er", "Tm", "Tm", "Tm", "Tm", "O", "O", "O", "O"],
  "fractional_positions": [[0.109, 0.164, 0.374], [0.109, 0.336, 0.874], [0.891, 0.664, 0.126], [0.891, 0.836, 0.626], [0.387, 0.672, 0.624], [0.387, 0.828, 0.124], [0.613, 0.172, 0.876], [0.613, 0.328, 0.376], [0.100, 0.670, 0.921], [0.100, 0.830, 0.421], [0.900, 0.170, 0.579], [0.900, 0.330, 0.079]],
  "n_ef_per_ev_cell": 10.7,
  "sg": "P2_1/c (14)",
  "energy_ev_per_atom": -6.564,
  "mass_density_g_cm3": 8.57,
  "de_polymorph_mev_per_atom": 0.0
}

=====

{
  "formula": "Tb2Rh2Pb",
  "functional": "PBE",
  "state": "optimized geometry",
  "lattice": [[-2.273, 2.970, 4.109], [2.273, -2.970, 4.109], [2.273, 2.970, -4.109]],
  "species": ["Tb", "Tb", "Rh", "Rh", "Pb"],
  "fractional_positions": [[0.206, 0.206, 0.000], [0.794, 0.794, 0.000], [0.221, 0.500, 0.721], [0.779, 0.500, 0.279], [0.500, 0.000, 0.500]],
  "formation_energy_mev_per_atom": -688,
  "n_ef_per_ev_cell": 3.5,
  "sg": "Immm (71)",
  "energy_ev_per_atom": -6.222,
  "mass_density_g_cm3": 10.94
}

=====

{
  "formula": "PmNpUO6",
  "functional": "PBE",
  "state": "optimized geometry",
  "lattice": [[5.880, 0.000, 0.000], [-2.940, 5.092, 0.000], [0.000, 0.000, 9.317]],
  "species": ["Pm", "Pm", "Np", "Np", "U", "U", "O", "O", "O", "O", "O", "O", "O", "O", "O", "O", "O", "O"],
  "fractional_positions": [[0.333, 0.667, 0.250], [0.667, 0.333, 0.750], [0.000, 0.000, 0.000], [0.000, 0.000, 0.500], [0.333, 0.667, 0.750], [0.667, 0.333, 0.250], [0.028, 0.345, 0.630], [0.028, 0.682, 0.870], [0.318, 0.345, 0.870], [0.318, 0.972, 0.630], [0.345, 0.028, 0.130], [0.345, 0.318, 0.370], [0.655, 0.682, 0.630], [0.655, 0.972, 0.870], [0.682, 0.028, 0.370], [0.682, 0.655, 0.130], [0.972, 0.318, 0.130], [0.972, 0.655, 0.370]],
  "n_ef_per_ev_cell": 29.2,
  "sg": "P-31c (163)",
  "energy_ev_per_atom": -9.634,
  "mass_density_g_cm3": 8.52
}

=====

{
  "formula": "LiPrScSe3",
  "functional": "PBE",
  "state": "optimized geometry",
  "lattice": [[8.184, 0.000, 0.000], [0.000, 3.971, 0.000], [-2.231, 0.000, 8.511]],
  "species": ["Li", "Li", "Pr", "Pr", "Sc", "Sc", "Se", "Se", "Se", "Se", "Se", "Se"],
  "fractional_positions": [[0.090, 0.250, 0.090], [0.910, 0.750, 0.910], [0.199, 0.250, 0.735], [0.801, 0.750, 0.265], [0.334, 0.750, 0.345], [0.666, 0.250, 0.655], [0.102, 0.250, 0.373], [0.233, 0.750, 0.012], [0.444, 0.750, 0.668], [0.556, 0.250, 0.332], [0.767, 0.250, 0.988], [0.898, 0.750, 0.627]],
  "n_ef_per_ev_cell": 6.2,
  "sg": "P2_1/m (11)",
  "energy_ev_per_atom": -5.525,
  "mass_density_g_cm3": 5.16
}

=====

{
  "formula": "BaLaMo2",
  "functional": "PBE",
  "state": "optimized geometry",
  "lattice": [[0.000, 3.749, 3.749], [3.749, 0.000, 3.749], [3.749, 3.749, 0.000]],
  "species": ["Ba", "La", "Mo", "Mo"],
  "fractional_positions": [[0.000, 0.000, 0.000], [0.500, 0.500, 0.500], [0.250, 0.250, 0.250], [0.750, 0.750, 0.750]],
  "formation_energy_mev_per_atom": 1275,
  "n_ef_per_ev_cell": 3.9,
  "sg": "Fm-3m (225)",
  "energy_ev_per_atom": -5.853,
  "mass_density_g_cm3": 7.38,
  "de_polymorph_mev_per_atom": 790.8
}

=====

{
  "formula": "Sc5Ru6W",
  "functional": "PBE",
  "state": "optimized geometry",
  "lattice": [[2.257, -6.752, 0.000], [2.257, 6.752, 0.000], [0.000, 0.000, 6.394]],
  "species": ["Sc", "Sc", "Sc", "Sc", "Sc", "Ru", "Ru", "Ru", "Ru", "Ru", "Ru", "W"],
  "fractional_positions": [[0.000, 0.000, 0.000], [0.332, 0.668, 0.500], [0.333, 0.667, 0.000], [0.667, 0.333, 0.000], [0.668, 0.332, 0.500], [0.160, 0.840, 0.256], [0.160, 0.840, 0.744], [0.500, 0.500, 0.264], [0.500, 0.500, 0.736], [0.840, 0.160, 0.256], [0.840, 0.160, 0.744], [0.000, 0.000, 0.500]],
  "formation_energy_mev_per_atom": -536,
  "n_ef_per_ev_cell": 7.0,
  "sg": "Cmmm (65)",
  "energy_ev_per_atom": -8.892,
  "mass_density_g_cm3": 8.65
}

=====

{
  "formula": "Cs2LiSnCl6",
  "functional": "PBE",
  "state": "optimized geometry",
  "lattice": [[0.000, 5.295, 5.295], [5.295, 0.000, 5.295], [5.295, 5.295, 0.000]],
  "species": ["Cs", "Cs", "Li", "Sn", "Cl", "Cl", "Cl", "Cl", "Cl", "Cl"],
  "fractional_positions": [[0.250, 0.250, 0.250], [0.750, 0.750, 0.750], [0.000, 0.000, 0.000], [0.500, 0.500, 0.500], [0.250, 0.250, 0.750], [0.250, 0.750, 0.250], [0.250, 0.750, 0.750], [0.750, 0.250, 0.250], [0.750, 0.250, 0.750], [0.750, 0.750, 0.250]],
  "n_ef_per_ev_cell": 4.5,
  "sg": "Fm-3m (225)",
  "energy_ev_per_atom": -3.422,
  "mass_density_g_cm3": 3.38
}

=====

{
  "formula": "Ac2Zn3GeIr4",
  "functional": "PBE",
  "state": "optimized geometry",
  "lattice": [[4.441, 0.000, 0.000], [0.000, 4.441, 0.000], [0.000, 0.000, 10.148]],
  "species": ["Ac", "Ac", "Zn", "Zn", "Zn", "Ge", "Ir", "Ir", "Ir", "Ir"],
  "fractional_positions": [[0.000, 0.500, 0.230], [0.500, 0.000, 0.770], [0.000, 0.500, 0.873], [0.500, 0.000, 0.127], [0.500, 0.500, 0.500], [0.000, 0.000, 0.500], [0.000, 0.000, 0.000], [0.000, 0.500, 0.619], [0.500, 0.000, 0.381], [0.500, 0.500, 0.000]],
  "formation_energy_mev_per_atom": -475,
  "n_ef_per_ev_cell": 3.9,
  "sg": "P-4m2 (115)",
  "energy_ev_per_atom": -5.685,
  "mass_density_g_cm3": 12.37
}

=====

{
  "formula": "Al3CoSe",
  "functional": "PBE",
  "state": "optimized geometry",
  "lattice": [[4.893, 0.000, 0.000], [0.000, 4.893, 0.000], [0.000, 0.000, 4.893]],
  "species": ["Al", "Al", "Al", "Co", "Se"],
  "fractional_positions": [[0.000, 0.000, 0.500], [0.000, 0.500, 0.000], [0.500, 0.000, 0.000], [0.500, 0.500, 0.500], [0.000, 0.000, 0.000]],
  "n_ef_per_ev_cell": 3.3,
  "sg": "Pm-3m (221)",
  "energy_ev_per_atom": -3.311,
  "mass_density_g_cm3": 3.10,
  "de_polymorph_mev_per_atom": 1095.9
}

=====

{
  "formula": "CeDySc2",
  "functional": "PBE",
  "state": "optimized geometry",
  "lattice": [[1.683, 0.972, 11.036], [-1.683, 0.972, 11.036], [0.000, -1.943, 11.036]],
  "species": ["Ce", "Dy", "Sc", "Sc"],
  "fractional_positions": [[0.000, 0.000, 0.000], [0.166, 0.166, 0.166], [0.583, 0.583, 0.583], [0.750, 0.750, 0.750]],
  "formation_energy_mev_per_atom": 78,
  "n_ef_per_ev_cell": 8.5,
  "sg": "R3m (160)",
  "energy_ev_per_atom": -5.722,
  "mass_density_g_cm3": 6.02,
  "de_polymorph_mev_per_atom": 12.1
}

=====

{
  "formula": "NiAg2Pt",
  "functional": "PBE",
  "state": "optimized geometry",
  "lattice": [[3.882, 0.000, 0.000], [0.000, 3.882, 0.000], [0.000, 0.000, 4.144]],
  "species": ["Ni", "Ag", "Ag", "Pt"],
  "fractional_positions": [[0.000, 0.000, 0.000], [0.000, 0.500, 0.500], [0.500, 0.000, 0.500], [0.500, 0.500, 0.000]],
  "formation_energy_mev_per_atom": 165,
  "n_ef_per_ev_cell": 6.3,
  "sg": "P4/mmm (123)",
  "energy_ev_per_atom": -4.216,
  "mass_density_g_cm3": 12.48
}

=====

{
  "formula": "MgMn2Ni",
  "functional": "PBE",
  "state": "optimized geometry",
  "lattice": [[-3.504, 3.504, 2.600], [3.504, -3.504, 2.600], [3.504, 3.504, -2.600]],
  "species": ["Mg", "Mg", "Mn", "Mn", "Mn", "Mn", "Ni", "Ni"],
  "fractional_positions": [[0.000, 0.000, 0.000], [0.750, 0.250, 0.500], [0.170, 0.625, 0.045], [0.375, 0.420, 0.545], [0.580, 0.125, 0.955], [0.875, 0.830, 0.455], [0.250, 0.750, 0.500], [0.500, 0.500, 0.000]],
  "formation_energy_mev_per_atom": 448,
  "n_ef_per_ev_cell": 4.1,
  "sg": "I-42d (122)",
  "energy_ev_per_atom": -5.980,
  "mass_density_g_cm3": 5.02
}

=====

{
  "formula": "Ba3AsIr",
  "functional": "PBE",
  "state": "optimized geometry",
  "lattice": [[5.892, 0.000, 0.000], [0.000, 5.892, 0.000], [0.000, 0.000, 5.892]],
  "species": ["Ba", "Ba", "Ba", "As", "Ir"],
  "fractional_positions": [[0.000, 0.000, 0.500], [0.000, 0.500, 0.000], [0.500, 0.000, 0.000], [0.500, 0.500, 0.500], [0.000, 0.000, 0.000]],
  "formation_energy_mev_per_atom": -293,
  "n_ef_per_ev_cell": 0.3,
  "sg": "Pm-3m (221)",
  "energy_ev_per_atom": -4.149,
  "mass_density_g_cm3": 5.51,
  "de_polymorph_mev_per_atom": 0.0
}

=====

{
  "formula": "HoAgH8Ir2",
  "functional": "PBE",
  "state": "optimized geometry",
  "lattice": [[4.336, -2.182, 0.000], [4.336, 2.182, 0.000], [-2.223, 0.000, 5.516]],
  "species": ["Ho", "Ag", "H", "H", "H", "H", "H", "H", "H", "H", "Ir", "Ir"],
  "fractional_positions": [[0.000, 0.000, 0.000], [0.500, 0.500, 0.500], [0.068, 0.569, 0.163], [0.231, 0.231, 0.381], [0.418, 0.418, 0.861], [0.431, 0.932, 0.837], [0.569, 0.068, 0.163], [0.582, 0.582, 0.139], [0.769, 0.769, 0.619], [0.932, 0.431, 0.837], [0.222, 0.222, 0.663], [0.778, 0.778, 0.337]],
  "n_ef_per_ev_cell": 1.3,
  "sg": "C2/m (12)",
  "energy_ev_per_atom": -4.442,
  "mass_density_g_cm3": 10.58
}

=====

{
  "formula": "PmZn8P6",
  "functional": "PBE",
  "state": "optimized geometry",
  "lattice": [[7.304, 0.000, 0.000], [-3.652, 6.326, 0.000], [0.000, 0.000, 13.071]],
  "species": ["Pm", "Pm", "Zn", "Zn", "Zn", "Zn", "Zn", "Zn", "Zn", "Zn", "Zn", "Zn", "Zn", "Zn", "Zn", "Zn", "Zn", "Zn", "P", "P", "P", "P", "P", "P", "P", "P", "P", "P", "P", "P"],
  "fractional_positions": [[0.000, 0.000, 0.000], [0.000, 0.000, 0.500], [0.000, 0.308, 0.294], [0.000, 0.386, 0.655], [0.000, 0.614, 0.155], [0.000, 0.692, 0.794], [0.308, 0.000, 0.294], [0.308, 0.308, 0.794], [0.333, 0.667, 0.429], [0.333, 0.667, 0.929], [0.386, 0.000, 0.655], [0.386, 0.386, 0.155], [0.614, 0.000, 0.155], [0.614, 0.614, 0.655], [0.667, 0.333, 0.429], [0.667, 0.333, 0.929], [0.692, 0.000, 0.794], [0.692, 0.692, 0.294], [0.000, 0.000, 0.224], [0.000, 0.000, 0.724], [0.000, 0.377, 0.475], [0.000, 0.623, 0.975], [0.333, 0.667, 0.233], [0.333, 0.667, 0.733], [0.377, 0.000, 0.475], [0.377, 0.377, 0.975], [0.623, 0.000, 0.975], [0.623, 0.623, 0.475], [0.667, 0.333, 0.233], [0.667, 0.333, 0.733]],
  "formation_energy_mev_per_atom": -228,
  "n_ef_per_ev_cell": 6.2,
  "sg": "P6_3cm (185)",
  "energy_ev_per_atom": -3.388,
  "mass_density_g_cm3": 4.70
}

=====

{
  "formula": "Sm2Si3Ni5",
  "functional": "PBE",
  "state": "optimized geometry",
  "lattice": [[1.984, -12.333, 0.000], [1.984, 12.333, 0.000], [0.000, 0.000, 6.429]],
  "species": ["Sm", "Sm", "Sm", "Sm", "Si", "Si", "Si", "Si", "Si", "Si", "Ni", "Ni", "Ni", "Ni", "Ni", "Ni", "Ni", "Ni", "Ni", "Ni"],
  "fractional_positions": [[0.021, 0.979, 0.500], [0.324, 0.676, 0.509], [0.676, 0.324, 0.009], [0.979, 0.021, 0.000], [0.119, 0.881, 0.738], [0.273, 0.727, 0.974], [0.438, 0.562, 0.705], [0.562, 0.438, 0.205], [0.727, 0.273, 0.474], [0.881, 0.119, 0.238], [0.090, 0.910, 0.080], [0.211, 0.789, 0.672], [0.224, 0.776, 0.284], [0.370, 0.630, 0.011], [0.432, 0.568, 0.329], [0.568, 0.432, 0.829], [0.630, 0.370, 0.511], [0.776, 0.224, 0.784], [0.789, 0.211, 0.172], [0.910, 0.090, 0.580]],
  "n_ef_per_ev_cell": 12.2,
  "sg": "Cmc2_1 (36)",
  "energy_ev_per_atom": -6.022,
  "mass_density_g_cm3": 7.16
}

=====

{
  "formula": "AgRu3",
  "functional": "PBE",
  "state": "optimized geometry",
  "lattice": [[4.565, -1.365, 0.000], [4.565, 1.365, 0.000], [-0.804, 0.000, 4.747]],
  "species": ["Ag", "Ru", "Ru", "Ru"],
  "fractional_positions": [[0.000, 0.000, 0.000], [0.242, 0.242, 0.731], [0.500, 0.500, 0.500], [0.758, 0.758, 0.269]],
  "formation_energy_mev_per_atom": 447,
  "n_ef_per_ev_cell": 4.9,
  "sg": "C2/m (12)",
  "energy_ev_per_atom": -7.223,
  "mass_density_g_cm3": 11.54
}

=====

{
  "formula": "PmYMgZn",
  "functional": "PBE",
  "state": "optimized geometry",
  "lattice": [[0.000, 3.719, 3.719], [3.719, 0.000, 3.719], [3.719, 3.719, 0.000]],
  "species": ["Pm", "Y", "Mg", "Zn"],
  "fractional_positions": [[0.000, 0.000, 0.000], [0.500, 0.500, 0.500], [0.750, 0.750, 0.750], [0.250, 0.250, 0.250]],
  "formation_energy_mev_per_atom": -190,
  "n_ef_per_ev_cell": 4.4,
  "sg": "F-43m (216)",
  "energy_ev_per_atom": -3.711,
  "mass_density_g_cm3": 5.22,
  "de_polymorph_mev_per_atom": 28.7
}